# 1
A plane-wave DFT calculation with PBE was carried out for a geometry-optimized CaRe2Cl structure.

Lattice parameters (Å, degrees): 2.912 2.912 28.354 90.00 90.00 120.00
Sites, in units of the cell vectors:
Ca1 0.000 0.000 0.000
Ca2 0.333 0.667 0.667
Ca3 0.667 0.333 0.333
Re1 0.000 0.000 0.242
Re2 0.000 0.000 0.758
Re3 0.333 0.667 0.425
Re4 0.333 0.667 0.909
Re5 0.667 0.333 0.091
Re6 0.667 0.333 0.575
Cl1 0.000 0.000 0.500
Cl2 0.333 0.667 0.167
Cl3 0.667 0.333 0.833

E_form (uncorrected) in kJ/mol of formula units: 400.0
Space group: R-3m (166)
Distance to the lowest polymorph of the same formula in kJ per mole of atoms: 113.1



# 2
A plane-wave DFT calculation with PBE was carried out for a geometry-optimized CrMoSe3 structure.

Lattice parameters (Å, degrees): 4.819 4.819 4.819 90.00 90.00 90.00
Sites, in units of the cell vectors:
Cr1 0.000 0.000 0.000
Mo1 0.500 0.500 0.500
Se1 0.000 0.000 0.500
Se2 0.000 0.500 0.000
Se3 0.500 0.000 0.000

E_form (uncorrected) in kJ/mol of formula units: 300.4
Space group: Pm-3m (221)
Distance to the lowest polymorph of the same formula in kJ per mole of atoms: 92.4



# 3
A plane-wave DFT calculation with PBE was carried out for a geometry-optimized Zr3CdIn2 structure.

Lattice parameters (Å, degrees): 3.154 3.154 13.268 90.00 90.00 90.00
Sites, in units of the cell vectors:
Zr1 0.000 0.000 0.000
Zr2 0.000 0.000 0.333
Zr3 0.000 0.000 0.667
Cd1 0.500 0.500 0.500
In1 0.500 0.500 0.167
In2 0.500 0.500 0.833

Space group: P4/mmm (123)
E in eV/atom: -5.592



# 4
A plane-wave DFT calculation with PBE was carried out for a geometry-optimized Cd2FeC structure.

Lattice parameters (Å, degrees): 8.741 8.741 3.683 90.00 90.00 90.00
Sites, in units of the cell vectors:
Cd1 0.109 0.750 0.125
Cd2 0.250 0.109 0.875
Cd3 0.250 0.391 0.375
Cd4 0.391 0.750 0.625
Cd5 0.609 0.250 0.625
Cd6 0.750 0.609 0.375
Cd7 0.750 0.891 0.875
Cd8 0.891 0.250 0.125
Fe1 0.000 0.000 0.500
Fe2 0.000 0.500 0.750
Fe3 0.500 0.000 0.250
Fe4 0.500 0.500 0.000
C1 0.000 0.000 0.000
C2 0.000 0.500 0.250
C3 0.500 0.000 0.750
C4 0.500 0.500 0.500

Space group: I-42d (122)
E in eV/atom: -4.124



# 5
A plane-wave DFT calculation with PBE was carried out for a geometry-optimized Pm2Er4In structure.

Lattice parameters (Å, degrees): 5.757 6.631 11.520 90.00 103.71 90.00
Sites, in units of the cell vectors:
Pm1 0.036 0.250 0.475
Pm2 0.340 0.750 0.078
Pm3 0.660 0.250 0.922
Pm4 0.964 0.750 0.525
Er1 0.154 0.006 0.786
Er2 0.154 0.494 0.786
Er3 0.212 0.250 0.062
Er4 0.395 0.750 0.373
Er5 0.605 0.250 0.627
Er6 0.788 0.750 0.938
Er7 0.846 0.506 0.214
Er8 0.846 0.994 0.214
In1 0.461 0.250 0.333
In2 0.539 0.750 0.667

Space group: P2_1/m (11)
Distance to the lowest polymorph of the same formula in kJ per mole of atoms: 1.8



# 6
A plane-wave DFT calculation with PBE was carried out for a geometry-optimized DyHfHgPt structure.

Lattice parameters (Å, degrees): 6.999 6.999 6.999 90.00 90.00 90.00
Sites, in units of the cell vectors:
Dy1 0.000 0.000 0.000
Dy2 0.000 0.500 0.500
Dy3 0.500 0.000 0.500
Dy4 0.500 0.500 0.000
Hf1 0.000 0.000 0.500
Hf2 0.000 0.500 0.000
Hf3 0.500 0.000 0.000
Hf4 0.500 0.500 0.500
Hg1 0.250 0.250 0.750
Hg2 0.250 0.750 0.250
Hg3 0.750 0.250 0.250
Hg4 0.750 0.750 0.750
Pt1 0.250 0.250 0.250
Pt2 0.250 0.750 0.750
Pt3 0.750 0.250 0.750
Pt4 0.750 0.750 0.250

Space group: F-43m (216)
E in eV/atom: -5.778



Going through the records in order, we get size of the total moment values of 0.0 6.0 0.0 6.3 0.0 0.0 μB/cell.